InFe2Ni after structural relaxation, computed with PBE.

```
data_InFe2Ni
_chemical_formula_sum 'In2 Fe4 Ni2'
_cell_length_a 3.612
_cell_length_b 3.612
_cell_length_c 9.587
_cell_angle_alpha 79.14
_cell_angle_beta 79.14
_cell_angle_gamma 90.00
_space_group_name_H-M_alt 'P 1'
_space_group_IT_number 1
loop_
_space_group_symop_operation_xyz
'x,y,z'
loop_
_atom_site_label
_atom_site_type_symbol
_atom_site_fract_x
_atom_site_fract_y
_atom_site_fract_z
_atom_site_occupancy
Ni1 Ni 0.250 0.750 0.500 1
Ni2 Ni 0.500 0.500 0.000 1
Fe1 Fe 0.875 0.856 0.750 1
Fe2 Fe 0.144 0.625 0.250 1
Fe3 Fe 0.375 0.394 0.750 1
Fe4 Fe 0.606 0.125 0.250 1
In1 In 0.000 0.000 0.000 1
In2 In 0.750 0.250 0.500 1
```

final energy	-0.217	hartree per atom
space group	I-42d
E_form	0.46	eV per atom
magnetization	5.47	μB/f.u.
crystal system	tetragonal
calculated volume	121	Å³ per cell

***

InFeNi2 after structural relaxation, computed with PBE.

```
data_InFeNi2
_chemical_formula_sum 'In1 Fe1 Ni2'
_cell_length_a 3.047
_cell_length_b 3.047
_cell_length_c 5.889
_cell_angle_alpha 90.00
_cell_angle_beta 90.00
_cell_angle_gamma 90.00
_space_group_name_H-M_alt 'P 1'
_space_group_IT_number 1
loop_
_space_group_symop_operation_xyz
'x,y,z'
loop_
_atom_site_label
_atom_site_type_symbol
_atom_site_fract_x
_atom_site_fract_y
_atom_site_fract_z
_atom_site_occupancy
Ni1 Ni 0.000 0.000 0.038 1
Ni2 Ni 0.000 0.000 0.462 1
In1 In 0.500 0.500 0.750 1
Fe1 Fe 0.500 0.500 0.250 1
```

final energy	-0.209	hartree per atom
space group	P4/mmm
E_form	0.00	eV per atom
magnetization	3.59	μB/f.u.
crystal system	tetragonal
calculated volume	55	Å³ per cell

***

InFeNi2 after structural relaxation, computed with PBE.

```
data_InFeNi2
_chemical_formula_sum 'In1 Fe1 Ni2'
_cell_length_a 3.846
_cell_length_b 3.842
_cell_length_c 3.658
_cell_angle_alpha 90.00
_cell_angle_beta 90.00
_cell_angle_gamma 90.00
_space_group_name_H-M_alt 'P 1'
_space_group_IT_number 1
loop_
_space_group_symop_operation_xyz
'x,y,z'
loop_
_atom_site_label
_atom_site_type_symbol
_atom_site_fract_x
_atom_site_fract_y
_atom_site_fract_z
_atom_site_occupancy
Fe1 Fe 0.500 0.000 0.500 1
In1 In 0.000 0.500 0.500 1
Ni1 Ni 0.000 0.000 0.000 1
Ni2 Ni 0.500 0.500 0.000 1
```

final energy	-0.207	hartree per atom
space group	P4/mmm
E_form	0.07	eV per atom
magnetization	3.18	μB/f.u.
crystal system	tetragonal
calculated volume	54	Å³ per cell

***

InFe2Ni after structural relaxation, computed with PBE.

```
data_InFe2Ni
_chemical_formula_sum 'In1 Fe2 Ni1'
_cell_length_a 8.193
_cell_length_b 8.193
_cell_length_c 8.193
_cell_angle_alpha 20.27
_cell_angle_beta 20.27
_cell_angle_gamma 20.27
_space_group_name_H-M_alt 'P 1'
_space_group_IT_number 1
loop_
_space_group_symop_operation_xyz
'x,y,z'
loop_
_atom_site_label
_atom_site_type_symbol
_atom_site_fract_x
_atom_site_fract_y
_atom_site_fract_z
_atom_site_occupancy
Fe1 Fe 0.999 0.999 0.999 1
Fe2 Fe 0.260 0.260 0.260 1
In1 In 0.499 0.499 0.499 1
Ni1 Ni 0.743 0.743 0.743 1
```

final energy	-0.222	hartree per atom
space group	R3m
E_form	0.31	eV per atom
magnetization	5.45	μB/f.u.
crystal system	trigonal
calculated volume	58	Å³ per cell

***

InFeNi2 after structural relaxation, computed with PBE.

```
data_InFeNi2
_chemical_formula_sum 'In1 Fe1 Ni2'
_cell_length_a 4.236
_cell_length_b 4.236
_cell_length_c 4.236
_cell_angle_alpha 60.00
_cell_angle_beta 60.00
_cell_angle_gamma 60.00
_space_group_name_H-M_alt 'P 1'
_space_group_IT_number 1
loop_
_space_group_symop_operation_xyz
'x,y,z'
loop_
_atom_site_label
_atom_site_type_symbol
_atom_site_fract_x
_atom_site_fract_y
_atom_site_fract_z
_atom_site_occupancy
Fe1 Fe 0.500 0.500 0.500 1
In1 In 0.750 0.750 0.750 1
Ni1 Ni 0.250 0.250 0.250 1
Ni2 Ni 0.000 0.000 0.000 1
```

final energy	-0.205	hartree per atom
space group	F-43m
E_form	0.10	eV per atom
magnetization	2.83	μB/f.u.
crystal system	cubic
calculated volume	54	Å³ per cell

***

InFeNi3 after structural relaxation, computed with PBE.

```
data_InFeNi3
_chemical_formula_sum 'In1 Fe1 Ni3'
_cell_length_a 4.330
_cell_length_b 4.330
_cell_length_c 4.330
_cell_angle_alpha 90.00
_cell_angle_beta 90.00
_cell_angle_gamma 90.00
_space_group_name_H-M_alt 'P 1'
_space_group_IT_number 1
loop_
_space_group_symop_operation_xyz
'x,y,z'
loop_
_atom_site_label
_atom_site_type_symbol
_atom_site_fract_x
_atom_site_fract_y
_atom_site_fract_z
_atom_site_occupancy
Ni1 Ni 0.500 0.000 0.000 1
Ni2 Ni 0.000 0.500 0.000 1
Ni3 Ni 0.000 0.000 0.500 1
In1 In 0.500 0.500 0.500 1
Fe1 Fe 0.000 0.000 0.000 1
```

final energy	-0.183	hartree per atom
space group	Pm-3m
E_form	0.74	eV per atom
magnetization	4.64	μB/f.u.
crystal system	cubic
relative energy among the computed polymorphs	0.000	eV per atom
calculated volume	81	Å³ per cell

***

PuInFeNi after structural relaxation, computed with PBE.

```
data_PuInFeNi
_chemical_formula_sum 'Pu1 In1 Fe1 Ni1'
_cell_length_a 4.621
_cell_length_b 4.621
_cell_length_c 4.621
_cell_angle_alpha 60.00
_cell_angle_beta 60.00
_cell_angle_gamma 60.00
_space_group_name_H-M_alt 'P 1'
_space_group_IT_number 1
loop_
_space_group_symop_operation_xyz
'x,y,z'
loop_
_atom_site_label
_atom_site_type_symbol
_atom_site_fract_x
_atom_site_fract_y
_atom_site_fract_z
_atom_site_occupancy
In1 In 0.250 0.250 0.250 1
Fe1 Fe 0.500 0.500 0.500 1
Ni1 Ni 0.000 0.000 0.000 1
Pu1 Pu 0.750 0.750 0.750 1
```

final energy	-0.289	hartree per atom
space group	F-43m
E_form	-0.02	eV per atom
magnetization	2.59	μB/f.u.
crystal system	cubic
calculated volume	70	Å³ per cell

***

InFeNiRu after structural relaxation, computed with PBE.

```
data_InFeNiRu
_chemical_formula_sum 'In1 Fe1 Ni1 Ru1'
_cell_length_a 4.348
_cell_length_b 4.348
_cell_length_c 4.348
_cell_angle_alpha 60.00
_cell_angle_beta 60.00
_cell_angle_gamma 60.00
_space_group_name_H-M_alt 'P 1'
_space_group_IT_number 1
loop_
_space_group_symop_operation_xyz
'x,y,z'
loop_
_atom_site_label
_atom_site_type_symbol
_atom_site_fract_x
_atom_site_fract_y
_atom_site_fract_z
_atom_site_occupancy
Ru1 Ru 0.250 0.250 0.250 1
Fe1 Fe 0.000 0.000 0.000 1
In1 In 0.500 0.500 0.500 1
Ni1 Ni 0.750 0.750 0.750 1
```

final energy	-0.238	hartree per atom
space group	F-43m
E_form	0.09	eV per atom
magnetization	4.22	μB/f.u.
crystal system	cubic
calculated volume	58	Å³ per cell

***

ScInFe2Ni after structural relaxation, computed with PBE.

```
data_ScInFe2Ni
_chemical_formula_sum 'Sc1 In1 Fe2 Ni1'
_cell_length_a 4.764
_cell_length_b 5.241
_cell_length_c 4.764
_cell_angle_alpha 90.00
_cell_angle_beta 90.00
_cell_angle_gamma 90.00
_space_group_name_H-M_alt 'P 1'
_space_group_IT_number 1
loop_
_space_group_symop_operation_xyz
'x,y,z'
loop_
_atom_site_label
_atom_site_type_symbol
_atom_site_fract_x
_atom_site_fract_y
_atom_site_fract_z
_atom_site_occupancy
In1 In 0.000 0.000 0.000 1
Ni1 Ni 0.500 0.500 0.500 1
Fe1 Fe 0.500 0.000 0.000 1
Fe2 Fe 0.000 0.000 0.500 1
Sc1 Sc 0.000 0.500 0.000 1
```

final energy	-0.178	hartree per atom
space group	P4/mmm
E_form	1.51	eV per atom
magnetization	6.27	μB/f.u.
crystal system	tetragonal
calculated volume	119	Å³ per cell

***

In2FeNiSn after structural relaxation, computed with PBE.

```
data_In2FeNiSn
_chemical_formula_sum 'In2 Fe1 Ni1 Sn1'
_cell_length_a 5.511
_cell_length_b 4.753
_cell_length_c 5.511
_cell_angle_alpha 90.00
_cell_angle_beta 90.00
_cell_angle_gamma 90.00
_space_group_name_H-M_alt 'P 1'
_space_group_IT_number 1
loop_
_space_group_symop_operation_xyz
'x,y,z'
loop_
_atom_site_label
_atom_site_type_symbol
_atom_site_fract_x
_atom_site_fract_y
_atom_site_fract_z
_atom_site_occupancy
Sn1 Sn 0.000 0.000 0.000 1
In1 In 0.000 0.000 0.500 1
In2 In 0.500 0.000 0.000 1
Ni1 Ni 0.500 0.500 0.500 1
Fe1 Fe 0.000 0.500 0.000 1
```

final energy	-0.126	hartree per atom
space group	P4/mmm
E_form	1.31	eV per atom
magnetization	3.60	μB/f.u.
crystal system	tetragonal
calculated volume	144	Å³ per cell

***

Ti5In2Fe2Ni after structural relaxation, computed with PBE.

```
data_Ti5In2Fe2Ni
_chemical_formula_sum 'Ti10 In4 Fe4 Ni2'
_cell_length_a 2.991
_cell_length_b 10.356
_cell_length_c 10.356
_cell_angle_alpha 90.00
_cell_angle_beta 90.00
_cell_angle_gamma 90.00
_space_group_name_H-M_alt 'P 1'
_space_group_IT_number 1
loop_
_space_group_symop_operation_xyz
'x,y,z'
loop_
_atom_site_label
_atom_site_type_symbol
_atom_site_fract_x
_atom_site_fract_y
_atom_site_fract_z
_atom_site_occupancy
Ti1 Ti 0.500 0.199 0.066 1
Ti2 Ti 0.500 0.500 0.000 1
Ti3 Ti 0.500 0.066 0.801 1
Ti4 Ti 0.500 0.301 0.566 1
Ti5 Ti 0.500 0.434 0.301 1
Ti6 Ti 0.500 0.699 0.434 1
Ti7 Ti 0.500 0.801 0.934 1
Ti8 Ti 0.500 0.000 0.500 1
Ti9 Ti 0.500 0.566 0.699 1
Ti10 Ti 0.500 0.934 0.199 1
Fe1 Fe 0.000 0.868 0.368 1
Fe2 Fe 0.000 0.632 0.868 1
Fe3 Fe 0.000 0.368 0.132 1
Fe4 Fe 0.000 0.132 0.632 1
In1 In 0.000 0.674 0.174 1
In2 In 0.000 0.326 0.826 1
In3 In 0.000 0.826 0.674 1
In4 In 0.000 0.174 0.326 1
Ni1 Ni 0.000 0.500 0.500 1
Ni2 Ni 0.000 0.000 0.000 1
```

final energy	-0.256	hartree per atom
space group	P4/mbm
E_form	-0.21	eV per atom
magnetization	0.02	μB/f.u.
crystal system	tetragonal
calculated volume	321	Å³ per cell

***

TiInFeNi after structural relaxation, computed with PBE.

```
data_TiInFeNi
_chemical_formula_sum 'Ti1 In1 Fe1 Ni1'
_cell_length_a 4.329
_cell_length_b 4.329
_cell_length_c 4.329
_cell_angle_alpha 60.00
_cell_angle_beta 60.00
_cell_angle_gamma 60.00
_space_group_name_H-M_alt 'P 1'
_space_group_IT_number 1
loop_
_space_group_symop_operation_xyz
'x,y,z'
loop_
_atom_site_label
_atom_site_type_symbol
_atom_site_fract_x
_atom_site_fract_y
_atom_site_fract_z
_atom_site_occupancy
Ni1 Ni 0.500 0.500 0.500 1
Fe1 Fe 0.000 0.000 0.000 1
Ti1 Ti 0.250 0.250 0.250 1
In1 In 0.750 0.750 0.750 1
```

final energy	-0.235	hartree per atom
space group	F-43m
E_form	-0.17	eV per atom
magnetization	1.02	μB/f.u.
crystal system	cubic
calculated volume	57	Å³ per cell

***

ZrInFeNi after structural relaxation, computed with PBE.

```
data_ZrInFeNi
_chemical_formula_sum 'Zr1 In1 Fe1 Ni1'
_cell_length_a 4.475
_cell_length_b 4.475
_cell_length_c 4.475
_cell_angle_alpha 60.00
_cell_angle_beta 60.00
_cell_angle_gamma 60.00
_space_group_name_H-M_alt 'P 1'
_space_group_IT_number 1
loop_
_space_group_symop_operation_xyz
'x,y,z'
loop_
_atom_site_label
_atom_site_type_symbol
_atom_site_fract_x
_atom_site_fract_y
_atom_site_fract_z
_atom_site_occupancy
Fe1 Fe 0.750 0.750 0.750 1
Ni1 Ni 0.250 0.250 0.250 1
In1 In 0.000 0.000 0.000 1
Zr1 Zr 0.500 0.500 0.500 1
```

final energy	-0.241	hartree per atom
space group	F-43m
E_form	-0.18	eV per atom
magnetization	1.04	μB/f.u.
crystal system	cubic
calculated volume	63	Å³ per cell

***

NpInFe4 after structural relaxation, computed with PBE.

```
data_NpInFe4
_chemical_formula_sum 'Np1 In1 Fe4'
_cell_length_a 5.026
_cell_length_b 5.026
_cell_length_c 5.026
_cell_angle_alpha 60.00
_cell_angle_beta 60.00
_cell_angle_gamma 60.00
_space_group_name_H-M_alt 'P 1'
_space_group_IT_number 1
loop_
_space_group_symop_operation_xyz
'x,y,z'
loop_
_atom_site_label
_atom_site_type_symbol
_atom_site_fract_x
_atom_site_fract_y
_atom_site_fract_z
_atom_site_occupancy
Np1 Np 0.250 0.250 0.250 1
Fe1 Fe 0.626 0.626 0.626 1
Fe2 Fe 0.626 0.626 0.123 1
Fe3 Fe 0.123 0.626 0.626 1
Fe4 Fe 0.626 0.123 0.626 1
In1 In 0.000 0.000 0.000 1
```

final energy	-0.300	hartree per atom
space group	F-43m
E_form	0.09	eV per atom
magnetization	4.01	μB/f.u.
crystal system	cubic
calculated volume	90	Å³ per cell

***

NpInFe after structural relaxation, computed with PBE.

```
data_NpInFe
_chemical_formula_sum 'Np1 In1 Fe1'
_cell_length_a 3.109
_cell_length_b 3.109
_cell_length_c 6.346
_cell_angle_alpha 104.18
_cell_angle_beta 104.18
_cell_angle_gamma 90.00
_space_group_name_H-M_alt 'P 1'
_space_group_IT_number 1
loop_
_space_group_symop_operation_xyz
'x,y,z'
loop_
_atom_site_label
_atom_site_type_symbol
_atom_site_fract_x
_atom_site_fract_y
_atom_site_fract_z
_atom_site_occupancy
In1 In 0.022 0.022 0.043 1
Fe1 Fe 0.673 0.673 0.346 1
Np1 Np 0.306 0.306 0.611 1
```

final energy	-0.290	hartree per atom
space group	I4mm
E_form	0.15	eV per atom
magnetization	1.75	μB/f.u.
crystal system	tetragonal
calculated volume	58	Å³ per cell